(1)
Here is an optimized crystal structure of SrZrCr3 from Alexandria via LeMat-Bulk. Energies are from PBE-GGA.

abc: 4.9319 4.9319 4.9319
angles: 90.00 90.00 90.00
Last column: nearest neighbours and their distance in Å.
Fractional coordinates of all 5 atoms:
Sr  0.0000  0.0000  0.0000  6 Cr 2.47
Zr  0.5000  0.5000  0.5000  12 Cr 3.49
Cr  0.0000  0.0000  0.5000  2 Sr 2.47
Cr  0.0000  0.5000  0.0000  2 Sr 2.47
Cr  0.5000  0.0000  0.0000  2 Sr 2.47

## Properties
formation energy: 2131 meV/atom
space-group type: Pm-3m
energy relative to the lowest polymorph listed for this composition: 0.912 eV per atom
VASP energy: -5.6893 eV/atom

=====

(2)
Here is an optimized crystal structure of Zr2VHgRu from Alexandria via LeMat-Bulk. Energies are from PBE-GGA.

abc: 4.9468 4.9468 4.3652
angles: 90.00 90.00 90.00
Last column: nearest neighbours and their distance in Å.
Fractional coordinates of all 5 atoms:
Zr  0.0000  0.5000  0.0000  2 V 2.47
Zr  0.5000  0.0000  0.0000  2 V 2.47
V  0.0000  0.0000  0.0000  2 Ru 2.18
Hg  0.5000  0.5000  0.5000  8 Zr 3.30, 4 Ru 3.50
Ru  0.0000  0.0000  0.5000  2 V 2.18

## Properties
formation energy: 527 meV/atom
space-group type: P4/mmm
energy relative to the lowest polymorph listed for this composition: 0.000 eV per atom
VASP energy: -6.6312 eV/atom

=====

(3)
Here is an optimized crystal structure of Pa2AlCrN6 from Alexandria via LeMat-Bulk. Energies are from PBE-GGA.

abc: 5.3076 5.5650 9.1951
angles: 90.00 125.23 90.00
Last column: nearest neighbours and their distance in Å.
Fractional coordinates of all 20 atoms:
Pa  0.2373  0.0683  0.2512  5 N 2.27-2.54
Pa  0.2373  0.4317  0.7512  5 N 2.27-2.54
Pa  0.7627  0.5683  0.2488  5 N 2.27-2.54
Pa  0.7627  0.9317  0.7488  5 N 2.27-2.54
Al  0.5000  0.0000  0.0000  6 N 1.97-2.04
Al  0.5000  0.5000  0.5000  6 N 1.97-2.04
Cr  0.0000  0.0000  0.5000  6 N 1.93-2.01
Cr  0.0000  0.5000  0.0000  6 N 1.93-2.01
N  0.1343  0.1936  0.9473  1 Cr 2.01, 1 Al 2.02
N  0.1343  0.3064  0.4473  1 Cr 2.01, 1 Al 2.02
N  0.2579  0.6894  0.9495  1 Cr 1.98, 1 Al 2.04
N  0.2579  0.8106  0.4495  1 Cr 1.98, 1 Al 2.04
N  0.3433  0.0291  0.7475  1 Cr 1.93, 1 Al 1.97
N  0.3433  0.4709  0.2475  1 Cr 1.93, 1 Al 1.97
N  0.6567  0.5291  0.7525  1 Cr 1.93, 1 Al 1.97
N  0.6567  0.9709  0.2525  1 Cr 1.93, 1 Al 1.97
N  0.7421  0.1894  0.5505  1 Cr 1.98, 1 Al 2.04
N  0.7421  0.3106  0.0505  1 Cr 1.98, 1 Al 2.04
N  0.8657  0.6936  0.5527  1 Cr 2.01, 1 Al 2.02
N  0.8657  0.8064  0.0527  1 Cr 2.01, 1 Al 2.02

## Properties
formation energy (no corrections): -1.1276 eV/atom
space-group type: P2_1/c
VASP energy: -9.3585 eV/atom

=====

(4)
Here is an optimized crystal structure of Mo3Pd2Pt2 from Alexandria via LeMat-Bulk. Energies are from PBE-GGA.

abc: 9.7017 9.7017 2.7095
angles: 90.00 90.00 154.98
Last column: nearest neighbours and their distance in Å.
Fractional coordinates of all 7 atoms:
Mo  0.0000  0.0000  0.0000  4 Mo 2.71-2.79, 8 Pt 2.84
Mo  0.1475  0.8525  0.0000  3 Mo 2.71-2.79, 6 Pd 2.77-3.01, 4 Pt 2.89
Mo  0.8525  0.1475  0.0000  3 Mo 2.71-2.79, 6 Pd 2.77-3.01, 4 Pt 2.89
Pd  0.2894  0.7106  0.5000  4 Pd 2.58-2.71, 1 Pt 2.65, 4 Mo 2.77
Pd  0.7106  0.2894  0.5000  4 Pd 2.58-2.71, 1 Pt 2.65, 4 Mo 2.77
Pt  0.4294  0.5706  0.5000  1 Pd 2.65, 3 Pt 2.68-2.71, 8 Mo 2.84-2.89
Pt  0.5706  0.4294  0.5000  1 Pd 2.65, 3 Pt 2.68-2.71, 8 Mo 2.84-2.89

## Properties
formation energy: -141 meV/atom
space-group type: Cmmm
VASP energy: -7.9921 eV/atom